NdHgTeO | the Open Quantum Materials Database | GGA-PBE | relaxed; total magnetization = 0.00 μB/cell; excess energy over the best structure of this formula in the dataset = 36 meV/atom; V = 23.2 Å³/atom
1.0
9.5348 0.0000 0.3892
0.0000 6.1910 0.0000
-0.5460 0.0000 6.2604
Hg Nd O Te
4 4 4 4
Cartesian
8.2786 2.0796 0.4825
0.9831 5.1751 3.0368
8.0056 1.0160 3.6128
0.7101 4.1115 6.1670
3.6943 0.0888 1.6587
5.5674 3.1843 1.8606
3.4213 3.0068 4.7890
5.2944 6.1023 4.9908
4.8912 1.5709 0.2260
4.3706 4.6664 3.2934
4.6181 1.5246 3.3562
4.0975 4.6201 6.4236
7.9267 5.3781 1.2187
1.3351 2.2826 2.3007
7.6536 3.9085 4.3489
1.0621 0.8130 5.4309



NdTlHgO3 | the Open Quantum Materials Database | GGA-PBE | relaxed; total magnetization = 0.00 μB/cell; V = 19.1 Å³/atom; total energy = -63.672 eV for the cell shown
1.0
-6.1084 -1.9009 -2.8240
-5.0287 -4.8011 -0.7503
-4.4171 3.5018 7.1973
Hg Nd O Tl
2 2 6 2
Cartesian
-2.6684 -0.0658 1.2974
-12.8860 -3.1344 2.3256
-5.5686 -3.3510 -1.7871
-7.7772 -1.6001 1.8115
-1.3591 -0.6447 -0.1940
-6.1189 -2.1422 0.1900
-3.3193 0.9093 3.0000
-12.2350 -4.1095 0.6230
-9.4354 -1.0580 3.4330
-14.1952 -2.5555 3.8170
-10.3326 -4.6779 -1.1623
-5.2217 1.4777 4.7854



NdHg2P2 | the Open Quantum Materials Database | GGA-PBE | relaxed; total magnetization = 0.00 μB/cell; V = 23.7 Å³/atom; total energy = -17.761 eV for the cell shown
1.0
-2.9542 3.1546 -1.4181
-1.2685 -4.3619 0.2344
-2.0112 0.9200 6.2362
Hg Nd P
2 1 2
Cartesian
-2.5084 -1.5462 1.7861
-3.7254 1.2589 3.2664
0.0000 0.0000 0.0000
-2.8788 0.8716 0.6412
-3.3551 -1.1589 4.4113



NdPaHg | the Open Quantum Materials Database | GGA-PBE | relaxed; total magnetization = 2.16 μB/cell; excess energy over the best structure of this formula in the dataset = 0 meV/atom; V = 32.1 Å³/atom; energy of formation from the pure elements = 0.449 eV/atom
1.0
0.0119 3.5088 3.7631
-4.4489 1.6928 1.9531
-1.3905 -1.3382 4.7695
Hg Nd Pa
1 1 1
Cartesian
0.0000 0.0000 0.0000
-1.4569 0.9659 2.6214
-4.3707 2.8976 7.8643



NdHgPb | the Open Quantum Materials Database | GGA-PBE | relaxed; total magnetization = 0.00 μB/cell; V = 33.2 Å³/atom; total energy = -9.310 eV for the cell shown
1.0
-3.2832 -3.7639 1.4649
-0.0849 -1.5972 4.9532
-4.0759 1.1362 3.0313
Hg Nd Pb
1 1 1
Cartesian
-1.8610 -1.0562 2.3624
0.0000 0.0000 0.0000
-5.5830 -3.1687 7.0871



NdHgPb | the Open Quantum Materials Database | GGA-PBE | relaxed; total magnetization = 0.00 μB/cell; V = 31.5 Å³/atom; total energy = -9.738 eV for the cell shown
1.0
2.2053 -4.5937 0.4015
-0.4415 -2.6771 4.3318
-2.8842 -4.2184 0.1147
Hg Nd Pb
1 1 1
Cartesian
0.0000 0.0000 0.0000
-0.2801 -2.8723 1.2120
-0.8403 -8.6169 3.6360



Nd2Hg3Pb3 | the Open Quantum Materials Database | GGA-PBE | relaxed; total magnetization = 0.01 μB/cell; V = 27.2 Å³/atom; total energy = -24.734 eV for the cell shown
1.0
-2.3784 -0.8739 -4.0574
2.4333 -4.1913 -0.5236
-6.6341 -4.4571 4.8489
Hg Nd Pb
3 2 3
Cartesian
-1.6775 -3.6781 -1.0444
-2.1004 -4.3242 2.1626
-4.9017 -5.8443 1.3122
-1.6670 -1.1200 1.2184
-4.9670 -3.3371 3.6304
-1.1892 -0.4370 -2.0287
1.2166 -2.0957 -0.2618
-4.5062 -2.6655 0.3957



NdHgPb | the Open Quantum Materials Database | GGA-PBE | relaxed; total magnetization = 0.00 μB/cell; V = 28.3 Å³/atom; total energy = -40.610 eV for the cell shown
1.0
6.6101 0.0000 0.0000
0.0000 4.8840 0.0000
0.0000 0.0000 10.5041
Hg Nd Pb
4 4 4
Cartesian
1.6423 3.6630 1.1293
4.9473 3.6630 4.1227
1.6628 1.2210 6.3814
4.9678 1.2210 9.3747
4.9509 3.6630 0.7983
1.6458 3.6630 4.4538
4.9643 1.2210 6.0503
1.6592 1.2210 9.7058
3.2992 1.2210 2.6235
6.6043 1.2210 2.6285
0.0058 3.6630 7.8756
3.3109 3.6630 7.8806



Nd3Hg5Pb | the Open Quantum Materials Database | GGA-PBE | relaxed; total magnetization = 0.04 μB/cell; V = 26.8 Å³/atom; total energy = -47.080 eV for the cell shown
1.0
-4.4110 -4.1230 -6.9393
2.1441 -4.7696 7.5673
-5.7771 1.6623 2.6846
Hg Nd Pb
10 6 2
Cartesian
-2.2260 -4.3385 -2.1038
-0.0410 -4.5540 2.7318
-2.9300 -0.9732 -1.6662
-0.7221 -1.1910 3.2201
-2.9476 -5.4816 1.0876
-5.1145 -3.5073 -0.7615
-2.9295 -3.7228 4.0741
-7.2580 -1.4875 -2.5885
-5.0964 -1.7485 2.2250
-2.9109 -1.9163 7.0318
-4.3720 -2.3210 -3.9347
-2.2066 -2.5747 0.8823
-0.0212 -2.7501 5.6938
-5.8161 -0.1397 -0.3200
-3.6118 -0.3571 4.5581
-5.8374 -4.6555 2.4302
0.0000 0.0000 0.0000
-2.8885 0.8312 1.3423



NdHgPd | the Open Quantum Materials Database | GGA-PBE | relaxed; total magnetization = 0.01 μB/cell; V = 26.2 Å³/atom; energy of formation from the pure elements = -0.577 eV/atom
1.0
2.4043 1.3881 3.9262
-2.4043 1.3881 3.9262
0.0000 -2.7762 3.9262
Hg Nd Pd
1 1 1
Cartesian
0.0000 0.0000 8.8340
0.0000 0.0000 2.9447
0.0000 0.0000 0.0000



NdHgPd | the Open Quantum Materials Database | GGA-PBE | relaxed; total magnetization = 0.00 μB/cell; V = 28.4 Å³/atom; energy of formation from the pure elements = -0.199 eV/atom
1.0
0.0000 3.4911 3.4911
3.4911 0.0000 3.4911
3.4911 3.4911 0.0000
Hg Nd Pd
1 1 1
Cartesian
1.7455 1.7455 1.7455
0.0000 0.0000 0.0000
5.2366 5.2366 5.2366



Nd3Hg3Pd2Pt | the Open Quantum Materials Database | GGA-PBE | relaxed; total magnetization = 0.01 μB/cell; V = 23.4 Å³/atom; energy of formation from the pure elements = -0.713 eV/atom
1.0
-3.2107 4.4587 -5.4829
-0.5454 -7.7286 -0.4711
-3.4355 0.1142 2.1046
Hg Nd Pd Pt
3 3 2 1
Cartesian
-2.3603 3.2777 -4.0307
-0.9949 -0.8661 -1.5770
-0.4010 -5.6816 -0.3463
-2.9876 1.8205 -1.1161
-1.9335 -2.9995 0.8660
-3.9884 -1.9196 -2.5470
-2.3223 0.3962 -3.8123
-1.4339 -3.6662 -2.1417
-1.7177 0.0571 1.0523



Question: What is the total magnetization in the sixth record?
Answer: 0.00 μB/cell